#P
Computed, not measured: an optimized crystal structure of ZnTc2 at the GGA-PBE level of DFT.

The structure in POSCAR format:
```
ZnTc2
1.0
2.820 0.000 0.000
1.410 6.974 0.000
0.000 0.000 4.357
Tc Zn
4 2
Cartesian
2.820 0.050 0.000 Tc
1.410 3.863 2.179 Tc
1.410 2.336 0.000 Tc
2.820 6.149 2.179 Tc
2.820 4.650 0.000 Zn
2.820 1.549 2.179 Zn
```

## Properties
* SG: No. 63

=====

#Q
Computed, not measured: an optimized crystal structure of ZnTc2 at the GGA-PBE level of DFT.

The structure in POSCAR format:
```
ZnTc2
1.0
2.615 0.000 0.000
0.000 4.354 0.000
0.000 0.000 16.921
Zn Tc
4 8
Cartesian
0.000 1.089 10.561 Zn
0.000 3.266 6.359 Zn
1.307 3.266 2.101 Zn
1.307 1.089 14.819 Zn
0.000 1.089 0.617 Tc
0.000 3.266 16.303 Tc
1.307 3.266 9.078 Tc
1.307 1.089 7.843 Tc
0.000 1.089 3.102 Tc
0.000 3.266 13.819 Tc
1.307 3.266 11.562 Tc
1.307 1.089 5.358 Tc
```

## Properties
* SG: No. 74

=====

Most stable: #P (next structure +0.428 eV/atom)

=====

#P
Computed, not measured: an optimized crystal structure of Zn4Tc3 at the GGA-PBE level of DFT.

The structure in POSCAR format:
```
Zn4Tc3
1.0
2.560 -4.434 0.000
2.560 4.434 0.000
0.000 0.000 4.795
Zn Tc
4 3
Cartesian
0.000 0.000 1.178 Zn
0.000 0.000 3.617 Zn
2.560 -1.478 2.397 Zn
2.560 1.478 2.397 Zn
1.280 2.217 0.000 Tc
2.560 0.000 0.000 Tc
1.280 -2.217 0.000 Tc
```

## Properties
* SG: No. 191

=====

#Q
Computed, not measured: an optimized crystal structure of Zn4Tc3 at the GGA-PBE level of DFT.

The structure in POSCAR format:
```
Zn4Tc3
1.0
-1.473 1.473 11.703
1.473 -1.473 11.703
1.473 1.473 -11.703
Zn Tc
4 3
Cartesian
0.000 0.000 20.057 Zn
0.000 0.000 13.401 Zn
0.000 0.000 10.004 Zn
0.000 0.000 3.349 Zn
0.000 0.000 0.000 Tc
0.000 0.000 16.813 Tc
0.000 0.000 6.592 Tc
```

## Properties
* SG: No. 139

=====

Most stable: #Q (next structure +0.208 eV/atom)

=====

#P
Computed, not measured: an optimized crystal structure of Zn4Tc at the GGA-PBE level of DFT.

The structure in POSCAR format:
```
Zn4Tc
1.0
-2.861 2.875 2.755
-2.161 -3.970 1.898
3.344 -0.107 3.584
Zn Tc
4 1
Cartesian
0.000 0.000 0.000 Zn
0.242 1.384 3.169 Zn
0.591 -2.038 2.741 Zn
-2.511 -0.548 2.327 Zn
-0.839 -0.601 4.119 Tc
```

## Properties
* SG: No. 221

=====

#Q
Computed, not measured: an optimized crystal structure of Zn4Tc at the GGA-PBE level of DFT.

The structure in POSCAR format:
```
Zn4Tc
1.0
-0.265 -3.805 2.877
-3.261 2.683 -2.234
1.970 -2.096 -3.815
Zn Tc
4 1
Cartesian
-2.320 0.223 -1.366 Zn
-0.163 -0.976 -2.591 Zn
0.764 -3.440 -1.805 Zn
-1.393 -2.241 -0.580 Zn
0.000 0.000 0.000 Tc
```

## Properties
* SG: No. 87

=====

Most stable: #Q (next structure +0.790 eV/atom)

=====

#P
Computed, not measured: an optimized crystal structure of Zn15Tc at the GGA-PBE level of DFT.

The structure in POSCAR format:
```
Zn15Tc
1.0
-0.578 4.913 -2.480
-2.610 -4.442 -2.019
-7.002 1.774 5.148
Zn Tc
15 1
Cartesian
-3.501 0.887 2.574 Zn
-1.317 -2.204 -1.032 Zn
-5.377 3.569 -0.902 Zn
-2.880 -1.973 -3.238 Zn
-3.801 3.336 1.322 Zn
-1.601 0.205 -2.248 Zn
-5.091 1.140 0.324 Zn
-2.632 3.805 -1.140 Zn
-6.196 4.708 1.480 Zn
-3.950 1.562 -2.159 Zn
-7.514 2.465 0.461 Zn
-2.340 1.324 0.112 Zn
-5.904 2.227 2.732 Zn
-3.749 -0.864 -0.837 Zn
-7.118 -0.010 1.640 Zn
0.000 0.000 0.000 Tc
```

## Properties
* SG: No. 187

=====

#Q
Computed, not measured: an optimized crystal structure of Zn15Tc at the GGA-PBE level of DFT.

The structure in POSCAR format:
```
Zn15Tc
1.0
6.931 0.016 -0.035
3.377 7.959 -0.098
1.226 0.846 9.050
Tc Zn
2 30
Cartesian
8.611 1.969 9.001 Tc
2.924 6.852 -0.084 Tc
2.945 3.330 4.009 Zn
8.590 5.492 4.908 Zn
7.952 4.186 7.388 Zn
3.582 4.636 1.529 Zn
7.218 7.714 5.568 Zn
4.317 1.108 3.350 Zn
9.149 6.802 2.446 Zn
2.386 2.019 6.471 Zn
6.747 8.003 8.121 Zn
4.787 0.818 0.796 Zn
3.546 4.759 6.701 Zn
7.989 4.063 2.216 Zn
5.446 3.784 3.266 Zn
6.088 5.038 5.651 Zn
4.898 7.220 1.669 Zn
6.636 1.602 7.248 Zn
9.662 8.189 4.739 Zn
1.872 0.632 4.178 Zn
4.134 5.930 4.101 Zn
7.400 2.892 4.816 Zn
9.046 6.941 7.260 Zn
2.489 1.881 1.657 Zn
4.225 2.741 8.210 Zn
7.310 6.081 0.707 Zn
4.666 7.291 6.406 Zn
6.869 1.531 2.511 Zn
6.635 6.279 3.283 Zn
4.900 2.543 5.634 Zn
5.653 5.529 8.180 Zn
5.881 3.293 0.738 Zn
```

## Properties
* SG: No. 2

=====

Most stable: #P (next structure +0.043 eV/atom)

=====

#P
Computed, not measured: an optimized crystal structure of Zn3Tc5 at the GGA-PBE level of DFT.

The structure in POSCAR format:
```
Zn3Tc5
1.0
4.801 -0.003 0.003
2.396 6.923 0.002
-2.395 0.002 6.923
Zn Tc
6 10
Cartesian
1.202 6.917 6.922 Zn
3.602 0.005 0.013 Zn
2.393 3.461 5.926 Zn
2.411 3.461 1.008 Zn
4.812 5.918 3.468 Zn
-0.008 1.003 3.465 Zn
3.602 3.458 3.466 Tc
1.202 3.463 3.468 Tc
2.409 5.730 2.161 Tc
2.395 1.191 4.773 Tc
-0.006 2.156 5.735 Tc
4.810 4.765 1.199 Tc
2.414 5.730 4.774 Tc
2.390 1.192 2.160 Tc
4.815 2.152 1.199 Tc
-0.011 4.770 5.734 Tc
```

## Properties
* SG: No. 15

=====

#Q
Computed, not measured: an optimized crystal structure of Zn3Tc5 at the GGA-PBE level of DFT.

The structure in POSCAR format:
```
Zn3Tc5
1.0
4.243 -4.391 0.000
4.243 4.391 0.000
0.000 0.000 3.092
Zn Tc
3 5
Cartesian
4.243 0.000 0.000 Zn
2.166 0.000 1.546 Zn
6.320 0.000 1.546 Zn
0.000 0.000 0.000 Tc
2.121 2.196 0.000 Tc
2.121 -2.196 0.000 Tc
4.243 -2.211 1.546 Tc
4.243 2.211 1.546 Tc
```

## Properties
* SG: No. 65

=====

Most stable: #P (next structure +0.052 eV/atom)

=====

#P
Computed, not measured: an optimized crystal structure of ZrZnTc3 at the GGA-PBE level of DFT.

The structure in POSCAR format:
```
ZrZnTc3
1.0
-4.154 -0.731 2.259
-1.255 -3.189 -3.339
2.016 -3.492 2.577
Zn Tc Zr
1 3 1
Cartesian
-1.697 -3.706 0.748 Zn
-0.627 -1.594 -1.670 Tc
1.008 -1.746 1.288 Tc
-2.077 -0.366 1.130 Tc
0.000 0.000 0.000 Zr
```

## Properties
* SG: No. 221

=====

#Q
Computed, not measured: an optimized crystal structure of ZrZnTc3 at the GGA-PBE level of DFT.

The structure in POSCAR format:
```
ZrZnTc3
1.0
4.516 0.000 0.000
0.000 4.516 0.000
0.000 0.000 4.516
Zn Tc Zr
1 3 1
Cartesian
0.000 0.000 0.000 Zn
0.000 2.258 0.000 Tc
0.000 0.000 2.258 Tc
2.258 0.000 0.000 Tc
2.258 2.258 2.258 Zr
```

## Properties
* SG: No. 221

=====

Most stable: #Q (next structure +0.746 eV/atom)

=====

#P
Computed, not measured: an optimized crystal structure of Zr3ZnTc at the GGA-PBE level of DFT.

The structure in POSCAR format:
```
Zr3ZnTc
1.0
4.869 0.000 0.000
0.000 4.869 0.000
0.000 0.000 4.869
Zn Tc Zr
1 1 3
Cartesian
0.000 0.000 0.000 Zn
2.435 2.435 2.435 Tc
0.000 2.435 0.000 Zr
0.000 0.000 2.435 Zr
2.435 0.000 0.000 Zr
```

## Properties
* SG: No. 221

=====

#Q
Computed, not measured: an optimized crystal structure of Zr3ZnTc at the GGA-PBE level of DFT.

The structure in POSCAR format:
```
Zr3ZnTc
1.0
-2.269 -1.608 4.177
4.354 -1.879 1.642
1.038 4.366 2.245
Zn Tc Zr
1 1 3
Cartesian
1.561 0.440 4.032 Zn
0.000 0.000 0.000 Tc
2.177 -0.939 0.821 Zr
0.519 2.183 1.122 Zr
-1.134 -0.804 2.088 Zr
```

## Properties
* SG: No. 221

=====

#R
Computed, not measured: an optimized crystal structure of Zr3ZnTc at the GGA-PBE level of DFT.

The structure in POSCAR format:
```
Zr3ZnTc
1.0
4.544 0.000 1.038
0.000 4.680 0.000
0.297 0.000 9.160
Zr Zn Tc
6 2 2
Cartesian
3.510 1.170 1.885 Zr
2.008 1.170 8.456 Zr
2.757 1.170 5.179 Zr
1.235 3.510 1.377 Zr
4.278 3.510 8.987 Zr
0.486 3.510 4.654 Zr
2.382 3.510 6.820 Zn
0.861 1.170 3.014 Zn
3.128 3.510 3.556 Tc
4.660 1.170 7.317 Tc
```

## Properties
* SG: No. 63

=====

Most stable: #R (next structure +0.764 eV/atom)

=====

#P
Computed, not measured: an optimized crystal structure of Zr5Tc4 at the GGA-PBE level of DFT.

The structure in POSCAR format:
```
Zr5Tc4
1.0
-7.284 -1.926 -3.106
-0.909 -0.810 -8.058
1.337 -5.742 0.426
Tc Zr
8 10
Cartesian
0.000 0.000 0.000 Tc
0.668 -2.871 0.213 Tc
-4.558 -2.943 -4.857 Tc
-0.234 -1.941 -4.928 Tc
-2.398 -2.158 -1.059 Tc
-2.298 -5.535 -5.880 Tc
0.662 -4.611 -2.703 Tc
-3.548 -5.510 -1.621 Tc
-2.364 -2.559 -6.561 Zr
0.079 -1.663 -2.156 Zr
-4.904 -2.821 -2.127 Zr
-4.491 -5.919 -4.176 Zr
0.349 -4.889 -5.476 Zr
-1.042 -4.848 -0.552 Zr
-2.731 -0.912 -3.721 Zr
-4.793 -4.695 -7.229 Zr
-5.461 -1.824 -7.442 Zr
-2.062 -3.783 -3.508 Zr
```

## Properties
* SG: No. 193

=====

#Q
Computed, not measured: an optimized crystal structure of Zr5Tc4 at the GGA-PBE level of DFT.

The structure in POSCAR format:
```
Zr5Tc4
1.0
-5.084 5.084 1.600
5.084 -5.084 1.600
5.084 5.084 -1.600
Zr Tc
5 4
Cartesian
0.000 0.000 0.000 Zr
-1.715 1.715 1.600 Zr
1.715 -1.715 1.600 Zr
3.370 3.370 0.000 Zr
1.715 1.715 1.600 Zr
0.000 6.628 0.000 Tc
0.000 3.541 0.000 Tc
3.541 0.000 0.000 Tc
6.628 0.000 0.000 Tc
```

## Properties
* SG: No. 139

=====

Most stable: #P (next structure +0.127 eV/atom)

=====

#P
Computed, not measured: an optimized crystal structure of Zr4Tc at the GGA-PBE level of DFT.

The structure in POSCAR format:
```
Zr4Tc
1.0
-1.204 2.327 -2.084
2.431 -1.018 -5.229
-3.666 -4.557 -0.282
Tc Zr
1 4
Cartesian
0.000 0.000 0.000 Tc
-2.154 -2.585 -1.642 Zr
-2.119 -2.981 -4.793 Zr
-0.284 -0.662 -5.953 Zr
-0.320 -0.267 -2.802 Zr
```

## Properties
* SG: No. 87

=====

#Q
Computed, not measured: an optimized crystal structure of Zr4Tc at the GGA-PBE level of DFT.

The structure in POSCAR format:
```
Zr4Tc
1.0
3.594 0.897 3.982
-3.948 3.732 0.248
-2.153 -4.959 0.585
Zr Tc
4 1
Cartesian
1.797 0.448 1.991 Zr
-1.254 -0.166 2.407 Zr
-1.974 1.866 0.124 Zr
-1.077 -2.480 0.292 Zr
0.000 0.000 0.000 Tc
```

## Properties
* SG: No. 229

=====

#R
Computed, not measured: an optimized crystal structure of Zr4Tc at the GGA-PBE level of DFT.

The structure in POSCAR format:
```
Zr4Tc
1.0
6.170 0.000 0.000
0.000 6.582 0.000
0.000 -3.291 5.451
Zr Tc
8 2
Cartesian
1.121 1.008 4.025 Zr
1.121 2.283 1.426 Zr
1.964 -2.283 4.025 Zr
5.049 -1.008 4.025 Zr
4.206 1.008 1.426 Zr
5.049 4.299 1.426 Zr
4.206 2.283 4.025 Zr
1.964 5.574 1.426 Zr
0.000 0.000 0.000 Tc
3.085 3.291 0.000 Tc
```

## Properties
* SG: No. 68

=====

Most stable: #P (next structure +0.336 eV/atom)

=====

#P
Computed, not measured: an optimized crystal structure of Zr4Tc at the GGA-PBE level of DFT.

The structure in POSCAR format:
```
Zr4Tc
1.0
-2.810 -3.857 1.523
2.742 -0.347 4.178
-3.111 3.177 2.306
Tc Zr
1 4
Cartesian
-1.589 -0.513 4.003 Tc
0.000 0.000 0.000 Zr
-2.960 -0.340 1.915 Zr
-0.185 1.415 3.242 Zr
-0.034 -2.102 2.851 Zr
```

## Properties
* SG: No. 221

=====

#Q
Computed, not measured: an optimized crystal structure of Zr4Tc at the GGA-PBE level of DFT.

The structure in POSCAR format:
```
Zr4Tc
1.0
-1.842 1.842 8.426
1.842 -1.842 8.426
1.842 1.842 -8.426
Zr Tc
4 1
Cartesian
0.000 1.842 4.213 Zr
0.000 0.000 9.851 Zr
0.000 0.000 7.001 Zr
1.842 0.000 4.213 Zr
0.000 0.000 0.000 Tc
```

## Properties
* SG: No. 139

=====

Most stable: #P (next structure +0.225 eV/atom)